No. 1
NaEr3In4: optimized geometry, PBE.

Structure (POSCAR):
```
NaEr3In4
1.0
1.037 -0.435 5.133
-1.840 -4.107 2.713
6.934 -5.948 0.786
In Er Na
4 3 1
Direct
0.125 0.125 0.626
0.875 0.875 0.374
0.375 0.375 0.874
0.625 0.625 0.126
0.253 0.253 0.242
0.500 0.500 0.500
0.747 0.747 0.758
0.000 0.000 0.000
```

Output
For the energy of formation from the pure elements, the calculation gives -352 meV per atom. The value obtained for the magnetization is 0.00 μB per formula unit.

---

No. 2
NaErIn2: optimized geometry, PBE.

Structure (POSCAR):
```
NaErIn2
1.0
3.803 0.000 0.000
0.000 5.203 0.000
0.000 0.000 5.203
In Na Er
2 1 1
Direct
0.000 0.500 0.000
0.000 0.000 0.500
0.500 0.500 0.500
0.500 0.000 0.000
```

Output
For the energy of formation from the pure elements, the calculation gives -290 meV per atom. The value obtained for the magnetization is 0.00 μB per formula unit.

---

No. 3
NaErIn4: optimized geometry, PBE.

Structure (POSCAR):
```
NaErIn4
1.0
3.421 0.000 0.010
0.000 5.060 0.000
-0.031 0.000 9.012
Er In Na
1 4 1
Direct
0.500 0.500 0.500
0.997 0.000 0.337
0.003 0.000 0.663
0.002 0.500 0.168
0.998 0.500 0.832
0.500 0.000 0.000
```

Output
For the energy of formation from the pure elements, the calculation gives -227 meV per atom. The value obtained for the magnetization is 0.00 μB per formula unit.

---

No. 4
NaErIn4: optimized geometry, PBE.

Structure (POSCAR):
```
NaErIn4
1.0
-0.707 5.631 -2.149
-3.496 3.968 2.977
2.529 4.694 2.899
In Na Er
4 1 1
Direct
0.125 0.625 0.625
0.625 0.625 0.125
0.625 0.125 0.625
0.625 0.625 0.625
0.250 0.250 0.250
0.000 0.000 0.000
```

Output
For the energy of formation from the pure elements, the calculation gives -138 meV per atom. The value obtained for the magnetization is 0.00 μB per formula unit.